No. 1
# TaTl4Rh PBE optimized geometry
data_TaTl4Rh
_space_group_name_H-M_alt 'P 1'
_space_group_IT_number 1
_space_group_name_Hall 'P 1'
_cell_length_a 5.917
_cell_length_b 5.917
_cell_length_c 5.917
_cell_angle_alpha 60.00
_cell_angle_beta 60.00
_cell_angle_gamma 60.00
loop_
_atom_site_label
_atom_site_type_symbol
_atom_site_fract_x
_atom_site_fract_y
_atom_site_fract_z
Tl1 Tl 0.375 0.375 0.375
Tl2 Tl 0.375 0.875 0.375
Tl3 Tl 0.375 0.375 0.875
Tl4 Tl 0.875 0.375 0.375
Ta1 Ta 0.000 0.000 0.000
Rh1 Rh 0.750 0.750 0.750
# Energy relative to the elements, eV/atom: 1.197
# Crystal system: cubic

***

No. 2
# NbO2F2 PBE optimized geometry
data_NbO2F2
_space_group_name_H-M_alt 'P 1'
_space_group_IT_number 1
_space_group_name_Hall 'P 1'
_cell_length_a 2.739
_cell_length_b 2.739
_cell_length_c 7.952
_cell_angle_alpha 80.08
_cell_angle_beta 80.08
_cell_angle_gamma 90.00
loop_
_atom_site_label
_atom_site_type_symbol
_atom_site_fract_x
_atom_site_fract_y
_atom_site_fract_z
Nb1 Nb 0.000 0.000 0.000
O1 O 0.750 0.250 0.500
O2 O 0.250 0.750 0.500
F1 F 0.421 0.421 0.159
F2 F 0.579 0.579 0.841
# Crystal system: tetragonal
# Uncorrected formation energy, kJ/mol of atoms: -36.8

***

no.,V (Å³/cell),total magnetic moment (μB per atom)
1,146.5,0.001
2,57.9,0.000